Record 1
Material: Ti2Te2Au
Method: DFT, PBE
State: relaxed

Geometry as POSCAR:
```
Ti2Te2Au
1.0
-7.132 0.204 2.351
-0.002 -7.484 0.641
1.149 0.296 3.461
Te Au Ti
4 2 4
Direct
0.154 0.654 0.500
0.654 0.846 0.500
0.846 0.346 0.500
0.346 0.154 0.500
0.000 0.000 0.000
0.500 0.500 0.000
0.361 0.861 0.000
0.861 0.639 0.000
0.639 0.139 0.000
0.139 0.361 0.000
```

The formation energy without anion corrections is -0.450 eV per atom. The space-group type is No. 127.



Record 2
Material: TiTe6Au
Method: DFT, PBE
State: relaxed

Geometry as POSCAR:
```
TiTe6Au
1.0
-5.280 -3.495 -3.275
5.237 -3.912 2.844
-2.808 4.059 5.103
Ti Te Au
1 6 1
Direct
0.000 0.000 0.000
0.173 0.173 0.738
0.462 0.100 0.228
0.827 0.827 0.262
0.900 0.538 0.772
0.538 0.900 0.772
0.100 0.462 0.228
0.500 0.500 0.500
```

The formation energy without anion corrections is -0.134 eV per atom. The space-group type is No. 12.



Record 3
Material: Ti2Te7Au2
Method: DFT, PBE
State: relaxed

Geometry as POSCAR:
```
Ti2Te7Au2
1.0
7.806 0.024 0.027
-0.729 6.903 -1.595
-0.729 -2.499 6.630
Ti Te Au
2 7 2
Direct
0.000 0.312 0.688
0.000 0.688 0.312
0.743 0.936 0.516
0.257 0.484 0.064
0.257 0.064 0.484
0.743 0.516 0.936
0.500 0.000 0.000
0.146 0.707 0.707
0.854 0.293 0.293
0.184 0.165 0.165
0.816 0.835 0.835
```

The formation energy without anion corrections is -0.287 eV per atom. The space-group type is No. 12.